(1)
Compound: BeGaRh2
Source: Alexandria
Functional: GGA-PBE
Structure: optimized geometry

## Properties
Energy above the lowest structure with this stoichiometry, meV per atom: 702.2
Space group: No. 122
Uncorrected energy, eV/atom: -5.34
N(E_F), states/eV/f.u.: 3.10

Cell lengths 3.902, 3.902, 8.302 Å; angles 76.41, 76.41, 90.00 degrees
Positions (direct):
Be 0.500 0.500 0.000
Be 0.250 0.750 0.500
Rh 0.583 0.125 0.250
Rh 0.167 0.625 0.250
Rh 0.375 0.417 0.750
Rh 0.875 0.833 0.750
Ga 0.000 0.000 0.000
Ga 0.750 0.250 0.500

(2)
Compound: BeGaSbRh2
Source: Alexandria
Functional: GGA-PBE
Structure: optimized geometry

## Properties
Space group: No. 123
Uncorrected energy, eV/atom: -3.89
Raw formation energy, eV per atom: 1.221
N(E_F), states/eV/f.u.: 6.78

Cell lengths 4.875, 5.087, 4.875 Å; angles 90.00, 90.00, 90.00 degrees
Positions (direct):
Sb 0.000 0.000 0.000
Rh 0.000 0.000 0.500
Rh 0.500 0.000 0.000
Ga 0.000 0.500 0.000
Be 0.500 0.500 0.500